Er2ThPaAs4 | Alexandria | PBE-GGA | optimized geometry; ΔH_f (0 K) = -1.356 eV/atom; SG = P2/m (10)
1.0
4.1359 0.0000 0.0000
0.0000 7.1167 -0.1265
0.0000 2.5195 6.7049
Pa As Er Th
1 4 2 1
Direct
0.0000 0.5000 0.5000
0.0000 0.2428 0.2590
0.5000 0.2456 0.7455
0.5000 0.7544 0.2544
0.0000 0.7572 0.7410
0.0000 0.0000 0.0000
0.5000 0.0000 0.5000
0.5000 0.5000 0.0000